Entry 1:
{"formula": "PPbN2", "functional": "SCAN", "state": "PBEsol geometry", "lattice": [[-0.3674, 1.3819, 2.5111], [-0.3280, -1.5067, 2.4438], [6.5730, 0.0288, 2.6084]], "species": ["Pb", "P", "N", "N"], "fractional_positions": [[0.0000, 0.0000, 0.0000], [0.5000, 0.5000, 0.5000], [0.8771, 0.8771, 0.3688], [0.1229, 0.1229, 0.6312]], "spacegroup": "No. 166", "formation_energy_uncorrected_ev_per_atom": 0.255}

=====

Entry 2:
{"formula": "Sb2MoPt", "functional": "SCAN", "state": "PBEsol geometry", "lattice": [[-1.6157, 0.3619, -2.5809], [1.1409, -0.9778, -2.6729], [-4.5515, -9.3459, -0.2826]], "species": ["Mo", "Pt", "Sb", "Sb"], "fractional_positions": [[0.5087, 0.5087, 0.4739], [0.2409, 0.2409, 0.2773], [0.9816, 0.9816, 0.0552], [0.7688, 0.7688, 0.6935]], "spacegroup": "No. 160", "formation_energy_uncorrected_ev_per_atom": 0.233, "de_polymorph_mev_per_atom": 304}

=====

Entry 3:
{"formula": "Sr2SbAs2", "functional": "SCAN", "state": "PBEsol geometry", "lattice": [[4.3821, 0.0000, 0.0000], [0.0000, 7.8364, 0.0000], [0.0000, 0.0000, 7.8364]], "species": ["Sb", "Sb", "As", "As", "As", "As", "Sr", "Sr", "Sr", "Sr"], "fractional_positions": [[0.0000, 0.0000, 0.0000], [0.0000, 0.5000, 0.5000], [0.0000, 0.3554, 0.8554], [0.0000, 0.8554, 0.6446], [0.0000, 0.6446, 0.1446], [0.0000, 0.1446, 0.3554], [0.5000, 0.1621, 0.6621], [0.5000, 0.6621, 0.8379], [0.5000, 0.8379, 0.3379], [0.5000, 0.3379, 0.1621]], "spacegroup": "No. 127", "formation_energy_uncorrected_ev_per_atom": -0.903}

=====

Entry 4:
{"formula": "In3PtCl", "functional": "SCAN", "state": "PBEsol geometry", "lattice": [[5.1208, 0.0000, 0.0000], [0.0000, 5.1208, 0.0000], [0.0000, 0.0000, 5.1208]], "species": ["In", "In", "In", "Pt", "Cl"], "fractional_positions": [[0.0000, 0.5000, 0.0000], [0.0000, 0.0000, 0.5000], [0.5000, 0.0000, 0.0000], [0.0000, 0.0000, 0.0000], [0.5000, 0.5000, 0.5000]], "spacegroup": "No. 221", "formation_energy_uncorrected_ev_per_atom": -0.754}

=====

Entry 5:
{"formula": "PrMgZn2", "functional": "SCAN", "state": "PBEsol geometry", "lattice": [[4.8861, 0.0000, 0.0000], [2.4431, 4.2315, 0.0000], [2.4431, 1.4105, 3.9895]], "species": ["Pr", "Zn", "Zn", "Mg"], "fractional_positions": [[0.0000, 0.0000, 0.0000], [0.7500, 0.7500, 0.7500], [0.2500, 0.2500, 0.2500], [0.5000, 0.5000, 0.5000]], "spacegroup": "No. 225", "formation_enthalpy_0k_ev_per_atom": -0.394}

=====

Entry 6:
{"formula": "Bi3IO", "functional": "SCAN", "state": "PBEsol geometry", "lattice": [[5.8985, 0.0000, 0.0000], [0.0000, 5.8985, 0.0000], [0.0000, 0.0000, 5.8985]], "species": ["I", "Bi", "Bi", "Bi", "O"], "fractional_positions": [[0.0000, 0.0000, 0.0000], [0.0000, 0.5000, 0.0000], [0.0000, 0.0000, 0.5000], [0.5000, 0.0000, 0.0000], [0.5000, 0.5000, 0.5000]], "spacegroup": "No. 221", "formation_energy_uncorrected_ev_per_atom": 1.604}

=====

Entry 7:
{"formula": "LaAl3", "functional": "SCAN", "state": "PBEsol geometry", "lattice": [[-5.2629, -3.6401, 0.8035], [3.5146, -0.5554, -5.3790], [8.1580, -10.3817, 6.4024]], "species": ["Al", "Al", "Al", "Al", "Al", "Al", "Al", "Al", "Al", "Al", "Al", "Al", "Al", "Al", "Al", "Al", "Al", "Al", "La", "La", "La", "La", "La", "La"], "fractional_positions": [[0.5284, 0.0568, 0.2500], [0.5284, 0.4716, 0.2500], [0.9432, 0.4716, 0.2500], [0.4716, 0.9432, 0.7500], [0.4716, 0.5284, 0.7500], [0.0568, 0.5284, 0.7500], [0.8273, 0.6547, 0.0812], [0.8273, 0.1727, 0.0812], [0.3453, 0.1727, 0.0812], [0.8273, 0.6547, 0.4188], [0.8273, 0.1727, 0.4188], [0.3453, 0.1727, 0.4188], [0.1727, 0.3453, 0.9188], [0.1727, 0.8273, 0.9188], [0.6547, 0.8273, 0.9188], [0.1727, 0.3453, 0.5812], [0.1727, 0.8273, 0.5812], [0.6547, 0.8273, 0.5812], [0.0000, 0.0000, 0.2500], [0.0000, 0.0000, 0.7500], [0.6667, 0.3333, 0.5951], [0.6667, 0.3333, 0.9049], [0.3333, 0.6667, 0.0951], [0.3333, 0.6667, 0.4049]], "spacegroup": "No. 194", "formation_enthalpy_0k_ev_per_atom": -0.358}

=====

Entry 8:
{"formula": "La2ZnCu", "functional": "SCAN", "state": "PBEsol geometry", "lattice": [[3.7324, 0.0000, -0.2703], [0.0000, 4.4651, 0.0000], [-1.4325, 0.0000, 5.9257]], "species": ["Zn", "Cu", "La", "La"], "fractional_positions": [[0.3143, 0.0000, 0.5030], [0.4357, 0.5000, 0.7465], [0.0233, 0.0000, 0.9239], [0.7267, 0.5000, 0.3266]], "spacegroup": "No. 6", "formation_enthalpy_0k_ev_per_atom": -0.239}

=====

Number 1: energy -25.94 eV per atom. Number 2: energy -44.67 eV per atom. Number 3: energy -25.34 eV per atom. Number 4: energy -36.42 eV per atom. Number 5: energy -19.23 eV per atom. Number 6: energy -54.14 eV per atom. Number 7: energy -16.95 eV per atom. Number 8: energy -28.97 eV per atom.